DFT (PBE+U) results for crystalline Mn2SiO4 at its relaxed geometry.

Lattice parameters (Å, degrees): 7.546 7.546 5.891 90.00 90.00 90.00
Atoms (fractional coordinates):
Mn  0.072  0.572  0.250
Mn  0.072  0.928  0.750
Mn  0.428  0.572  0.750
Mn  0.428  0.928  0.250
Mn  0.572  0.072  0.750
Mn  0.572  0.428  0.250
Mn  0.928  0.072  0.250
Mn  0.928  0.428  0.750
Si  0.250  0.250  0.069
Si  0.250  0.250  0.569
Si  0.750  0.750  0.431
Si  0.750  0.750  0.931
O  0.030  0.190  0.579
O  0.030  0.310  0.079
O  0.190  0.030  0.079
O  0.190  0.470  0.579
O  0.310  0.030  0.579
O  0.310  0.470  0.079
O  0.470  0.190  0.079
O  0.470  0.310  0.579
O  0.530  0.690  0.421
O  0.530  0.810  0.921
O  0.690  0.530  0.921
O  0.690  0.970  0.421
O  0.810  0.530  0.421
O  0.810  0.970  0.921
O  0.970  0.690  0.921
O  0.970  0.810  0.421

D(E_F) = 0.118 states/eV/atom
electronic total energy = -7.5193 eV per atom
energy above the most stable polymorph in this dataset = 419 meV per atom
volume = 335.5 Å³/cell